one.
Entry from Alexandria via LeMat-Bulk: an optimized crystal structure of Rb2AsS (PBE-GGA).

abc: 8.2424 8.2424 8.2424
angles: 90.00 90.00 90.00
Last column: nearest neighbours and their distance in Å.
Space group Fm-3m (No. 225)
Inequivalent atoms, fractional coordinates:
Rb1 0.2500 0.2500 0.2500 x8  4 S 3.57, 4 As 3.57
As1 0.0000 0.0000 0.0000 x4  8 Rb 3.57
S1 0.0000 0.0000 0.5000 x4  8 Rb 3.57

Results
- Fermi-level density of states: 0.04 states/eV/cell



two.
Entry from Alexandria via LeMat-Bulk: an optimized crystal structure of Rb2AsS (PBE-GGA).

abc: 12.3554 12.3554 5.0389
angles: 90.00 90.00 90.00
Last column: nearest neighbours and their distance in Å.
Space group I-42d (No. 122)
Inequivalent atoms, fractional coordinates:
Rb1 0.0435 0.7500 0.1250 x8  2 S 3.20
As1 0.0000 0.0000 0.5000 x4  2 S 2.52
S1 0.0000 0.0000 0.0000 x4  2 As 2.52

Results
- Fermi-level density of states: 16.98 states/eV/cell



So which one is most stable? That would be two, about 23.8 kJ/mol of atoms below the next structure.



one.
Entry from Alexandria via LeMat-Bulk: an optimized crystal structure of RbAs2SeS (PBE-GGA).

abc: 7.2772 7.2772 6.7139
angles: 90.00 90.00 90.00
Last column: nearest neighbours and their distance in Å.
Space group P4/mmm (No. 123)
Inequivalent atoms, fractional coordinates:
Rb1 0.0000 0.0000 0.0000 x1  2 Se 3.36, 4 As 3.64
As1 0.0000 0.5000 0.0000 x2  2 Rb 3.64
Se1 0.0000 0.0000 0.5000 x1  2 Rb 3.36
S1 0.5000 0.5000 0.5000 x1  8 As 4.95, 4 Se 5.15

Results
- Fermi-level density of states: 7.80 states/eV/cell



two.
Entry from Alexandria via LeMat-Bulk: an optimized crystal structure of RbAs2SeS (PBE-GGA).

abc: 5.0427 5.0427 5.2162
angles: 90.00 90.00 90.00
Last column: nearest neighbours and their distance in Å.
Space group P4/mmm (No. 123)
Inequivalent atoms, fractional coordinates:
Rb1 0.0000 0.0000 0.0000 x1  4 Se 3.57, 8 As 3.63
As1 0.0000 0.5000 0.5000 x2  2 S 2.52
Se1 0.5000 0.5000 0.0000 x1  2 S 2.61
S1 0.5000 0.5000 0.5000 x1  4 As 2.52, 2 Se 2.61

Results
- Fermi-level density of states: 3.98 states/eV/cell



So which one is most stable? That would be two, about 136.4 kJ/mol of atoms below the next structure.



one.
Entry from Alexandria via LeMat-Bulk: an optimized crystal structure of RbSbAs (PBE-GGA).

abc: 7.5604 7.4854 11.1494
angles: 90.00 125.08 90.00
Last column: nearest neighbours and their distance in Å.
Space group P2_1/c (No. 14)
Inequivalent atoms, fractional coordinates:
Rb1 0.1522 0.1981 0.4547 x4  4 As 3.55-3.76, 2 Sb 3.74-3.79
Sb1 0.3245 0.6813 0.4885 x4  2 As 2.59-2.62
As1 0.3644 0.5085 0.3003 x4  2 Sb 2.59-2.62



two.
Entry from Alexandria via LeMat-Bulk: an optimized crystal structure of RbSbAs (PBE-GGA).

abc: 7.1686 5.5163 7.1765
angles: 90.00 115.22 90.00
Last column: nearest neighbours and their distance in Å.
Space group P2/m (No. 10)
Inequivalent atoms, fractional coordinates:
Rb1 0.1646 0.0000 0.3347 x2  2 As 3.52
Sb1 0.2658 0.5000 0.7652 x2  2 As 2.60
As1 0.3445 0.5000 0.1540 x2  2 Sb 2.60

Results
- Fermi-level density of states: 0.00 states/eV/cell



So which one is most stable? That would be one, about 6.8 kJ/mol of atoms below the next structure.



one.
Entry from Alexandria via LeMat-Bulk: an optimized crystal structure of RbSbAs (PBE-GGA).

abc: 11.4155 5.3134 8.2735
angles: 90.00 90.00 90.00
Last column: nearest neighbours and their distance in Å.
Space group Pnma (No. 62)
Inequivalent atoms, fractional coordinates:
Rb1 0.2390 0.2500 0.0517 x4  4 As 3.48-3.82, 2 Sb 3.78-3.87
Sb1 0.0157 0.2500 0.6989 x4  3 As 2.63-2.86
As1 0.0531 0.2500 0.3852 x4  3 Sb 2.63-2.86



two.
Entry from Alexandria via LeMat-Bulk: an optimized crystal structure of RbSbAs (PBE-GGA).

abc: 3.8378 3.8378 12.8259
angles: 90.00 90.00 90.00
Last column: nearest neighbours and their distance in Å.
Space group I4mm (No. 107)
Inequivalent atoms, fractional coordinates:
Rb1 0.0000 0.0000 0.0000 x2  5 Sb 3.65-3.88, 5 As 3.77-3.79, 4 Rb 3.84
Sb1 0.0000 0.0000 0.2842 x2  4 As 2.89
As1 0.0000 0.0000 0.7057 x2  4 Sb 2.89

Results
- Fermi-level density of states: 1.32 states/eV/cell



So which one is most stable? That would be two, about 0.7 kJ/mol of atoms below the next structure.



one.
Entry from Alexandria via LeMat-Bulk: an optimized crystal structure of Rb2SbAs (PBE-GGA).

abc: 4.2612 10.6757 6.9940
angles: 90.00 90.00 90.00
Last column: nearest neighbours and their distance in Å.
Space group Imm2 (No. 44)
Inequivalent atoms, fractional coordinates:
Rb1 0.0000 0.1988 0.0000 x4  3 As 3.57-3.58, 3 Sb 3.86-3.98
Sb1 0.0000 0.0000 0.5193 x2  2 As 2.74
As1 0.0000 0.5000 0.7740 x2  2 Sb 2.74

Results
- Fermi-level density of states: 4.03 states/eV/cell



two.
Entry from Alexandria via LeMat-Bulk: an optimized crystal structure of Rb2SbAs (PBE-GGA).

abc: 8.3891 8.3891 8.3891
angles: 90.00 90.00 90.00
Last column: nearest neighbours and their distance in Å.
Space group Fm-3m (No. 225)
Inequivalent atoms, fractional coordinates:
Rb1 0.2500 0.2500 0.2500 x8  4 As 3.63, 4 Sb 3.63
Sb1 0.0000 0.0000 0.0000 x4  8 Rb 3.63
As1 0.0000 0.0000 0.5000 x4  8 Rb 3.63

Results
- Fermi-level density of states: 14.82 states/eV/cell



So which one is most stable? That would be one, about 49.5 kJ/mol of atoms below the next structure.



one.
Entry from Alexandria via LeMat-Bulk: an optimized crystal structure of Rb3SbAs (PBE-GGA).

abc: 10.8914 15.1692 5.6331
angles: 90.00 90.00 90.00
Last column: nearest neighbours and their distance in Å.
Space group Cmcm (No. 63)
Inequivalent atoms, fractional coordinates:
Rb1 0.0000 0.1258 0.2500 x4  2 As 3.61
Rb2 0.1973 0.3526 0.2500 x8  3 Sb 3.66-3.85, 3 As 3.73-3.82, 1 Rb 4.06
Sb1 0.0000 0.4520 0.7500 x4  1 As 2.69
As1 0.0000 0.2748 0.7500 x4  1 Sb 2.69

Results
- Fermi-level density of states: 7.46 states/eV/cell



two.
Entry from Alexandria via LeMat-Bulk: an optimized crystal structure of Rb3SbAs (PBE-GGA).

abc: 6.5971 6.5971 6.5971
angles: 90.00 90.00 90.00
Last column: nearest neighbours and their distance in Å.
Space group Pm-3m (No. 221)
Inequivalent atoms, fractional coordinates:
Rb1 0.0000 0.0000 0.5000 x3  2 As 3.30
Sb1 0.5000 0.5000 0.5000 x1  12 Rb 4.66
As1 0.0000 0.0000 0.0000 x1  6 Rb 3.30

Results
- Fermi-level density of states: 7.24 states/eV/cell



So which one is most stable? That would be one, about 35.5 kJ/mol of atoms below the next structure.



one.
Entry from Alexandria via LeMat-Bulk: an optimized crystal structure of RbSbAs2Se (PBE-GGA).

abc: 5.4245 5.4245 5.6415
angles: 90.00 90.00 90.00
Last column: nearest neighbours and their distance in Å.
Space group P4/mmm (No. 123)
Inequivalent atoms, fractional coordinates:
Rb1 0.0000 0.0000 0.0000 x1  4 Se 3.84, 8 As 3.91
Sb1 0.5000 0.5000 0.5000 x1  4 As 2.71, 2 Se 2.82
As1 0.0000 0.5000 0.5000 x2  2 Sb 2.71
Se1 0.5000 0.5000 0.0000 x1  2 Sb 2.82

Results
- Fermi-level density of states: 4.26 states/eV/cell



two.
Entry from Alexandria via LeMat-Bulk: an optimized crystal structure of RbSbAs2Se (PBE-GGA).

abc: 5.5370 5.5370 5.6371
angles: 90.00 90.00 90.00
Last column: nearest neighbours and their distance in Å.
Space group P4/mmm (No. 123)
Inequivalent atoms, fractional coordinates:
Rb1 0.0000 0.0000 0.0000 x1  4 As 2.77, 2 Se 2.82
Sb1 0.5000 0.5000 0.5000 x1  4 Se 3.92, 8 As 3.95
As1 0.0000 0.5000 0.0000 x2  2 Rb 2.77
Se1 0.0000 0.0000 0.5000 x1  2 Rb 2.82

Results
- Fermi-level density of states: 7.28 states/eV/cell



So which one is most stable? That would be one, about 127.0 kJ/mol of atoms below the next structure.



one.
Entry from Alexandria via LeMat-Bulk: an optimized crystal structure of RbSb2TeAs (PBE-GGA).

abc: 6.3202 6.3202 6.1518
angles: 90.00 90.00 90.00
Last column: nearest neighbours and their distance in Å.
Space group P4/mmm (No. 123)
Inequivalent atoms, fractional coordinates:
Rb1 0.0000 0.0000 0.0000 x1  2 Te 3.08, 4 Sb 3.16
Sb1 0.0000 0.5000 0.0000 x2  2 Rb 3.16
Te1 0.0000 0.0000 0.5000 x1  2 Rb 3.08
As1 0.5000 0.5000 0.5000 x1  8 Sb 4.41, 4 Te 4.47

Results
- Fermi-level density of states: 7.44 states/eV/cell



two.
Entry from Alexandria via LeMat-Bulk: an optimized crystal structure of RbSb2TeAs (PBE-GGA).

abc: 5.5158 5.5158 5.8332
angles: 90.00 90.00 90.00
Last column: nearest neighbours and their distance in Å.
Space group P4/mmm (No. 123)
Inequivalent atoms, fractional coordinates:
Rb1 0.0000 0.0000 0.0000 x1  4 Te 3.90, 8 Sb 4.01
Sb1 0.0000 0.5000 0.5000 x2  2 As 2.76
Te1 0.5000 0.5000 0.0000 x1  2 As 2.92
As1 0.5000 0.5000 0.5000 x1  4 Sb 2.76, 2 Te 2.92

Results
- Fermi-level density of states: 4.98 states/eV/cell



So which one is most stable? That would be two, about 139.2 kJ/mol of atoms below the next structure.



one.
Entry from Alexandria via LeMat-Bulk: an optimized crystal structure of RbAsSe (PBE-GGA).

abc: 4.9936 5.0884 9.1992
angles: 76.58 85.08 89.09
Last column: nearest neighbours and their distance in Å.
Space group P-1 (No. 2)
Inequivalent atoms, fractional coordinates:
Rb1 0.2080 0.1148 0.2033 x2  5 Se 3.53-3.60, 3 As 3.78-3.90
As1 0.3080 0.3697 0.5499 x2  1 As 2.34, 1 Se 2.36
Se1 0.2884 0.3812 0.8059 x2  1 As 2.36

Results
- Fermi-level density of states: 0.16 states/eV/cell



two.
Entry from Alexandria via LeMat-Bulk: an optimized crystal structure of RbAsSe (PBE-GGA).

abc: 10.3649 6.4198 7.3061
angles: 90.00 112.91 90.00
Last column: nearest neighbours and their distance in Å.
Space group C2/m (No. 12)
Inequivalent atoms, fractional coordinates:
Rb1 0.1546 0.0000 0.2675 x4  3 As 3.53-3.93, 5 Se 3.56-3.82
As1 0.0847 0.5000 0.9314 x4  1 As 2.34, 1 Se 2.37
Se1 0.2061 0.0000 0.7781 x4  1 As 2.37

Results
- Fermi-level density of states: 0.19 states/eV/cell



So which one is most stable? That would be one, about 2.4 kJ/mol of atoms below the next structure.



one.
Entry from Alexandria via LeMat-Bulk: an optimized crystal structure of RbAs2Se3 (PBE-GGA).

abc: 10.9962 10.9557 6.5347
angles: 90.00 90.00 90.00
Last column: nearest neighbours and their distance in Å.
Space group Cmcm (No. 63)
Inequivalent atoms, fractional coordinates:
Rb1 0.0000 0.1812 0.2500 x4  10 Se 3.89-4.18, 8 As 4.34-4.35
As1 0.1825 0.5000 0.0000 x8  4 Se 2.54-2.73
Se1 0.0000 0.4193 0.7500 x4  4 As 2.73
Se2 0.1989 0.1319 0.7500 x8  2 As 2.54

Results
- Fermi-level density of states: 3.66 states/eV/cell



two.
Entry from Alexandria via LeMat-Bulk: an optimized crystal structure of RbAs2Se3 (PBE-GGA).

abc: 6.4812 8.5264 8.5483
angles: 75.00 73.43 76.46
Last column: nearest neighbours and their distance in Å.
Space group P-1 (No. 2)
Inequivalent atoms, fractional coordinates:
Rb1 0.2266 0.1814 0.2545 x2  6 Se 3.52-3.81, 1 As 3.79
As1 0.0177 0.7827 0.1375 x2  3 Se 2.33-2.61
As2 0.4569 0.4948 0.3683 x2  2 Se 2.41-2.43, 1 As 2.50
Se1 0.1894 0.7476 0.3736 x2  2 As 2.43-2.49
Se2 0.2096 0.4438 0.8309 x2  2 As 2.41-2.61
Se3 0.2138 0.9829 0.7821 x2  1 As 2.33



So which one is most stable? That would be two, about 12.1 kJ/mol of atoms below the next structure.



one.
Entry from Alexandria via LeMat-Bulk: an optimized crystal structure of RbAs2Se2 (PBE-GGA).

abc: 9.0318 9.0318 3.6218
angles: 90.00 90.00 90.00
Last column: nearest neighbours and their distance in Å.
Space group P4/mbm (No. 127)
Inequivalent atoms, fractional coordinates:
Rb1 0.0000 0.0000 0.0000 x2  4 As 3.51, 2 Rb 3.62, 8 Se 3.68
As1 0.1356 0.3644 0.0000 x4  2 Se 2.47
Se1 0.2328 0.7328 0.5000 x4  2 As 2.47

Results
- Fermi-level density of states: 2.15 states/eV/cell



two.
Entry from Alexandria via LeMat-Bulk: an optimized crystal structure of RbAs2Se2 (PBE-GGA).

abc: 5.4459 5.4459 9.1087
angles: 90.00 90.00 90.00
Last column: nearest neighbours and their distance in Å.
Space group I4/mmm (No. 139)
Inequivalent atoms, fractional coordinates:
Rb1 0.0000 0.0000 0.0000 x2  2 As 3.24, 8 Se 3.55
As1 0.0000 0.0000 0.3553 x4  1 As 2.64, 4 Se 2.89
Se1 0.0000 0.5000 0.2500 x4  4 As 2.89

Results
- Fermi-level density of states: 4.34 states/eV/cell



three.
Entry from Alexandria via LeMat-Bulk: an optimized crystal structure of RbAs2Se2 (PBE-GGA).

abc: 4.2942 4.2942 14.1036
angles: 90.00 90.00 90.00
Last column: nearest neighbours and their distance in Å.
Space group I4/mmm (No. 139)
Inequivalent atoms, fractional coordinates:
Rb1 0.0000 0.0000 0.0000 x2  8 Se 3.30
As1 0.0000 0.5000 0.2500 x4  4 As 3.04, 4 Se 3.10
Se1 0.0000 0.0000 0.4090 x4  1 Se 2.57

Results
- Fermi-level density of states: 4.89 states/eV/cell



So which one is most stable? That would be one, about 2.8 kJ/mol of atoms below the next structure.



one.
Entry from Alexandria via LeMat-Bulk: an optimized crystal structure of RbSiAsSe2 (PBE-GGA).

abc: 5.7786 5.7786 5.5784
angles: 90.00 90.00 90.00
Last column: nearest neighbours and their distance in Å.
Space group P4/mmm (No. 123)
Inequivalent atoms, fractional coordinates:
Rb1 0.0000 0.0000 0.0000 x1  2 As 2.79, 4 Se 2.89
Si1 0.5000 0.5000 0.5000 x1  8 Se 4.02, 4 As 4.09
As1 0.0000 0.0000 0.5000 x1  2 Rb 2.79
Se1 0.0000 0.5000 0.0000 x2  2 Rb 2.89

Results
- Fermi-level density of states: 6.15 states/eV/cell



two.
Entry from Alexandria via LeMat-Bulk: an optimized crystal structure of RbSiAsSe2 (PBE-GGA).

abc: 5.1822 5.1822 4.8185
angles: 90.00 90.00 90.00
Last column: nearest neighbours and their distance in Å.
Space group P4/mmm (No. 123)
Inequivalent atoms, fractional coordinates:
Rb1 0.0000 0.0000 0.0000 x1  8 Se 3.54, 4 As 3.66
Si1 0.5000 0.5000 0.5000 x1  2 As 2.41, 4 Se 2.59
As1 0.5000 0.5000 0.0000 x1  2 Si 2.41
Se1 0.0000 0.5000 0.5000 x2  2 Si 2.59

Results
- Fermi-level density of states: 4.69 states/eV/cell



So which one is most stable? That would be two, about 161.6 kJ/mol of atoms below the next structure.



one.
Entry from Alexandria via LeMat-Bulk: an optimized crystal structure of RbSnAs2Se (PBE-GGA).

abc: 5.4025 5.4025 5.6001
angles: 90.00 90.00 90.00
Last column: nearest neighbours and their distance in Å.
Space group P4/mmm (No. 123)
Inequivalent atoms, fractional coordinates:
Rb1 0.0000 0.0000 0.0000 x1  4 Se 3.82, 8 As 3.89
Sn1 0.5000 0.5000 0.5000 x1  4 As 2.70, 2 Se 2.80
As1 0.0000 0.5000 0.5000 x2  2 Sn 2.70
Se1 0.5000 0.5000 0.0000 x1  2 Sn 2.80

Results
- Fermi-level density of states: 4.47 states/eV/cell



two.
Entry from Alexandria via LeMat-Bulk: an optimized crystal structure of RbSnAs2Se (PBE-GGA).

abc: 5.5519 5.5519 5.7451
angles: 90.00 90.00 90.00
Last column: nearest neighbours and their distance in Å.
Space group P4/mmm (No. 123)
Inequivalent atoms, fractional coordinates:
Rb1 0.0000 0.0000 0.0000 x1  4 As 2.78, 2 Se 2.87
Sn1 0.5000 0.5000 0.5000 x1  4 Se 3.93, 8 As 3.99
As1 0.0000 0.5000 0.0000 x2  2 Rb 2.78
Se1 0.0000 0.0000 0.5000 x1  2 Rb 2.87

Results
- Fermi-level density of states: 6.57 states/eV/cell



So which one is most stable? That would be one, about 109.3 kJ/mol of atoms below the next structure.